# 1
Below is Ce2CdSe2O2 at its PBEsol-relaxed geometry, with properties calculated at the meta-GGA SCAN level.

Cell lengths 3.928, 3.928, 18.490 Å; angles 90.00, 90.00, 90.00 degrees
Element x y z (fractional)
1 Ce 0.250 0.250 0.066
2 Ce 0.250 0.250 0.566
3 Ce 0.750 0.750 0.434
4 Ce 0.750 0.750 0.934
5 Cd 0.250 0.750 0.250
6 Cd 0.750 0.250 0.750
7 Se 0.250 0.250 0.348
8 Se 0.250 0.250 0.848
9 Se 0.750 0.750 0.152
10 Se 0.750 0.750 0.652
11 O 0.250 0.750 0.000
12 O 0.250 0.750 0.500
13 O 0.750 0.250 0.000
14 O 0.750 0.250 0.500

formation energy from raw total energies: -17.8 eV/f.u.
E_tot: -27.13 eV/atom



# 2
Below is Ce2CdPb at its PBEsol-relaxed geometry, with properties calculated at the meta-GGA SCAN level.

Cell lengths 5.375, 5.375, 5.375 Å; angles 60.00, 60.00, 60.00 degrees
Element x y z (fractional)
1 Ce 0.250 0.250 0.250
2 Ce 0.750 0.750 0.750
3 Cd 0.000 0.000 0.000
4 Pb 0.500 0.500 0.500

E_tot: -49.28 eV/atom



# 3
Below is Ce6Cd4Pd13 at its PBEsol-relaxed geometry, with properties calculated at the meta-GGA SCAN level.

Cell lengths 8.348, 8.348, 8.348 Å; angles 109.47, 109.47, 109.47 degrees
Element x y z (fractional)
1 Ce 0.000 0.298 0.298
2 Ce 0.000 0.702 0.702
3 Ce 0.298 0.000 0.298
4 Ce 0.298 0.298 0.000
5 Ce 0.702 0.000 0.702
6 Ce 0.702 0.702 0.000
7 Cd 0.000 0.000 0.500
8 Cd 0.000 0.500 0.000
9 Cd 0.500 0.000 0.000
10 Cd 0.500 0.500 0.500
11 Pd 0.000 0.000 0.000
12 Pd 0.000 0.346 0.654
13 Pd 0.000 0.654 0.346
14 Pd 0.307 0.654 0.654
15 Pd 0.346 0.000 0.654
16 Pd 0.346 0.346 0.693
17 Pd 0.346 0.654 0.000
18 Pd 0.346 0.693 0.346
19 Pd 0.654 0.000 0.346
20 Pd 0.654 0.307 0.654
21 Pd 0.654 0.346 0.000
22 Pd 0.654 0.654 0.307
23 Pd 0.693 0.346 0.346

E_tot: -36.16 eV/atom



# 4
Below is Ce2CdPd2 at its PBEsol-relaxed geometry, with properties calculated at the meta-GGA SCAN level.

Cell lengths 7.663, 7.663, 3.743 Å; angles 90.00, 90.00, 90.00 degrees
Element x y z (fractional)
1 Ce 0.172 0.328 0.000
2 Ce 0.328 0.828 0.000
3 Ce 0.672 0.172 0.000
4 Ce 0.828 0.672 0.000
5 Cd 0.000 0.000 0.500
6 Cd 0.500 0.500 0.500
7 Pd 0.130 0.630 0.500
8 Pd 0.370 0.130 0.500
9 Pd 0.630 0.870 0.500
10 Pd 0.870 0.370 0.500

E_tot: -37.73 eV/atom



# 5
Below is Ce2CdSb4 at its PBEsol-relaxed geometry, with properties calculated at the meta-GGA SCAN level.

Cell lengths 4.335, 4.335, 10.231 Å; angles 90.00, 90.00, 90.00 degrees
Element x y z (fractional)
1 Ce 0.000 0.500 0.236
2 Ce 0.500 0.000 0.764
3 Cd 0.500 0.500 0.500
4 Sb 0.000 0.000 0.000
5 Sb 0.000 0.500 0.681
6 Sb 0.500 0.000 0.319
7 Sb 0.500 0.500 0.000

formation energy from raw total energies: -5.4 eV/f.u.
E_tot: -39.14 eV/atom



# 6
Below is CeTlCd at its PBEsol-relaxed geometry, with properties calculated at the meta-GGA SCAN level.

Cell lengths 5.064, 5.064, 6.612 Å; angles 90.00, 90.00, 120.00 degrees
Element x y z (fractional)
1 Ce 0.000 0.000 0.000
2 Ce 0.000 0.000 0.500
3 Tl 0.333 0.667 0.250
4 Tl 0.667 0.333 0.750
5 Cd 0.333 0.667 0.750
6 Cd 0.667 0.333 0.250

E_tot: -49.50 eV/atom



# 7
Below is CdCl at its PBEsol-relaxed geometry, with properties calculated at the meta-GGA SCAN level.

Cell lengths 8.646, 8.646, 8.646 Å; angles 24.50, 24.50, 24.50 degrees
Element x y z (fractional)
1 Cd 0.125 0.125 0.125
2 Cd 0.875 0.875 0.875
3 Cl 0.396 0.396 0.396
4 Cl 0.604 0.604 0.604

formation energy from raw total energies: -1.7 eV/f.u.
E_tot: -20.04 eV/atom



# 8
Below is Cd3Cl at its PBEsol-relaxed geometry, with properties calculated at the meta-GGA SCAN level.

Cell lengths 3.154, 5.620, 4.991 Å; angles 90.00, 92.59, 90.00 degrees
Element x y z (fractional)
1 Cd 0.000 0.000 0.000
2 Cd 0.241 0.500 0.254
3 Cd 0.759 0.500 0.746
4 Cl 0.500 0.000 0.500

formation energy from raw total energies: -0.7 eV/f.u.
E_tot: -24.99 eV/atom



# 9
Below is CdCl at its PBEsol-relaxed geometry, with properties calculated at the meta-GGA SCAN level.

Cell lengths 4.243, 4.243, 5.686 Å; angles 90.00, 90.00, 90.00 degrees
Element x y z (fractional)
1 Cd 0.250 0.750 0.000
2 Cd 0.750 0.250 0.000
3 Cl 0.250 0.250 0.336
4 Cl 0.750 0.750 0.664

formation energy from raw total energies: -0.8 eV/f.u.
E_tot: -19.58 eV/atom



# 10
Below is CdCl at its PBEsol-relaxed geometry, with properties calculated at the meta-GGA SCAN level.

Cell lengths 6.608, 6.608, 6.608 Å; angles 144.96, 144.96, 50.40 degrees
Element x y z (fractional)
1 Cd 0.375 0.625 0.750
2 Cd 0.625 0.375 0.250
3 Cl 0.125 0.875 0.250
4 Cl 0.875 0.125 0.750

formation energy from raw total energies: -0.9 eV/f.u.
E_tot: -19.63 eV/atom



- What is the E_tot in the third record?
  -36.16 eV/atom



- Which of these has the lowest E_tot?
  CeTlCd



- The lowest E_tot belongs to which entry?
  CeTlCd



- The lowest E_tot belongs to which entry?
  CeTlCd